Entry 1:
## Y2CuRe (GGA-PBE)

Data for a geometry-optimized Y2CuRe structure.

a b c (Å): 5.5357 5.5357 5.5357
angles (deg): 135.43 135.43 64.86
Last column: nearest neighbours and their distance in Å.
Element x y z (fractional)
1 Y 0.2500 0.7500 0.5000  4 Re 2.97, 4 Cu 3.14, 4 Y 3.14
2 Y 0.0000 0.0000 0.0000  4 Cu 2.97, 4 Y 3.14, 4 Re 3.14
3 Cu 0.5000 0.5000 0.0000  8 Y 2.97-3.14, 4 Re 3.14
4 Re 0.7500 0.2500 0.5000  8 Y 2.97-3.14, 4 Cu 3.14

Output
As for the energy relative to the elements: 289 meV/atom.

Entry 2:
## YCuRe3 (GGA-PBE)

Data for a geometry-optimized YCuRe3 structure.

a b c (Å): 4.5647 4.5647 4.5647
angles (deg): 90.00 90.00 90.00
Last column: nearest neighbours and their distance in Å.
Element x y z (fractional)
1 Re 0.0000 0.0000 0.5000  2 Cu 2.28
2 Re 0.0000 0.5000 0.0000  2 Cu 2.28
3 Re 0.5000 0.0000 0.0000  2 Cu 2.28
4 Y 0.5000 0.5000 0.5000  12 Re 3.23
5 Cu 0.0000 0.0000 0.0000  6 Re 2.28

Output
The value obtained for the energy above the most stable polymorph in this dataset is 0.000 eV/atom. As for the energy relative to the elements: 1465 meV/atom.

Entry 3:
## YCu3Re (GGA-PBE)

Data for a geometry-optimized YCu3Re structure.

a b c (Å): 4.6975 4.6975 4.6975
angles (deg): 90.00 90.00 90.00
Last column: nearest neighbours and their distance in Å.
Element x y z (fractional)
1 Cu 0.0000 0.5000 0.0000  2 Y 2.35
2 Cu 0.0000 0.0000 0.5000  2 Y 2.35
3 Cu 0.5000 0.0000 0.0000  2 Y 2.35
4 Re 0.5000 0.5000 0.5000  12 Cu 3.32
5 Y 0.0000 0.0000 0.0000  6 Cu 2.35

Output
The value obtained for the energy above the most stable polymorph in this dataset is 1.343 eV/atom. As for the energy relative to the elements: 2072 meV/atom.